(1)
The following is a DFT calculation (PBE) of a relaxed Pa5H6 crystal.

Cell lengths 3.1602, 6.3073, 8.1353 Å; angles 112.81, 101.20, 90.00 degrees
Last column: nearest neighbours and their distance in Å.
Positions (direct):
H (0.8663, 0.5968, 0.7327)  5 Pa 2.36-2.44, 2 H 2.52
Pa (0.0000, 0.5000, 0.0000)  8 H 2.22-2.44
H (0.5000, 0.2519, 0.0000)  4 Pa 2.19-2.22
H (0.5000, 0.7481, 0.0000)  4 Pa 2.19-2.22
Pa (0.6028, 0.1028, 0.2056)  6 H 2.19-2.36
Pa (0.2953, 0.2953, 0.5907)  4 H 2.39
H (0.8663, 0.1358, 0.7327)  5 Pa 2.36-2.44, 2 H 2.52
H (0.1337, 0.4032, 0.2673)  5 Pa 2.36-2.44, 2 H 2.52
Pa (0.7047, 0.7047, 0.4093)  4 H 2.39
Pa (0.3972, 0.8972, 0.7944)  6 H 2.19-2.36
H (0.1337, 0.8642, 0.2673)  5 Pa 2.36-2.44, 2 H 2.52

Theoretical density (kg/m3): 13197
Space group: Immm, No. 71

---

(2)
The following is a DFT calculation (PBE) of a relaxed PaH4 crystal.

Cell lengths 4.0234, 4.0234, 4.0234 Å; angles 90.00, 90.00, 90.00 degrees
Last column: nearest neighbours and their distance in Å.
Positions (direct):
H (0.5000, 0.0000, 0.5000)  2 Pa 2.01
H (0.0000, 0.0000, 0.0000)  12 H 2.84
Pa (0.5000, 0.5000, 0.5000)  6 H 2.01
H (0.5000, 0.5000, 0.0000)  2 Pa 2.01
H (0.0000, 0.5000, 0.5000)  2 Pa 2.01

Theoretical density (kg/m3): 5993
Space group: Pm-3m, No. 221

---

(3)
The following is a DFT calculation (PBE) of a relaxed Pa4HPb2 crystal.

Cell lengths 4.5987, 4.5987, 8.7260 Å; angles 105.28, 105.28, 90.00 degrees
Last column: nearest neighbours and their distance in Å.
Positions (direct):
Pa (0.5000, 0.0000, 0.0000)  2 H 2.30
Pb (0.6522, 0.6522, 0.3044)  9 Pa 3.22-3.37
Pa (0.1487, 0.1487, 0.2975)  1 H 2.41
H (0.0000, 0.0000, 0.0000)  6 Pa 2.30-2.41
Pa (0.0000, 0.5000, 0.0000)  2 H 2.30
Pa (0.8513, 0.8513, 0.7025)  1 H 2.41
Pb (0.3478, 0.3478, 0.6956)  9 Pa 3.22-3.37

Theoretical density (kg/m3): 12989
Space group: I4/mmm, No. 139

---

(4)
The following is a DFT calculation (PBE) of a relaxed PaHPb crystal.

Cell lengths 3.4535, 3.4535, 5.5974 Å; angles 90.00, 90.00, 120.00 degrees
Last column: nearest neighbours and their distance in Å.
Positions (direct):
H (0.3333, 0.6667, 0.6049)  3 Pa 2.19
Pa (0.6667, 0.3333, 0.4428)  3 H 2.19
Pb (0.0000, 0.0000, 0.9523)  3 H 2.79

Theoretical density (kg/m3): 12616
Space group: P3m1, No. 156

---

(5)
The following is a DFT calculation (PBE) of a relaxed PaHPb crystal.

Cell lengths 3.2547, 3.2547, 6.2484 Å; angles 105.10, 105.10, 90.00 degrees
Last column: nearest neighbours and their distance in Å.
Positions (direct):
Pb (0.0041, 0.0041, 0.0082)  1 H 3.13, 4 Pb 3.25, 5 Pa 3.27-3.43
H (0.2732, 0.2732, 0.5464)  4 Pa 2.37
Pa (0.7227, 0.7227, 0.4454)  4 H 2.37

Theoretical density (kg/m3): 11853
Space group: I4mm, No. 107

---

(6)
The following is a DFT calculation (PBE) of a relaxed PaHPb crystal.

Cell lengths 3.2539, 5.4267, 7.2236 Å; angles 90.00, 103.02, 90.00 degrees
Last column: nearest neighbours and their distance in Å.
Positions (direct):
H (0.8660, 0.7500, 0.7320)  2 Pa 2.09
H (0.1340, 0.2500, 0.2680)  2 Pa 2.09
Pb (0.6931, 0.7500, 0.3862)  1 H 2.43
Pb (0.3069, 0.2500, 0.6138)  1 H 2.43
Pa (0.5403, 0.2500, 0.0807)  2 H 2.09
Pa (0.4597, 0.7500, 0.9193)  2 H 2.09

Theoretical density (kg/m3): 11738
Space group: Cmcm, No. 63

---

(7)
The following is a DFT calculation (PBE) of a relaxed PaHPd2 crystal.

Cell lengths 3.0993, 3.0993, 6.5400 Å; angles 90.00, 90.00, 90.00 degrees
Last column: nearest neighbours and their distance in Å.
Positions (direct):
Pa (0.5000, 0.5000, 0.0000)  8 Pd 2.94, 4 Pa 3.10, 2 H 3.27
Pd (0.0000, 0.0000, 0.2992)  4 H 2.55, 1 Pd 2.63
H (0.5000, 0.5000, 0.5000)  8 Pd 2.55
Pd (0.0000, 0.0000, 0.7008)  4 H 2.55, 1 Pd 2.63

Theoretical density (kg/m3): 11760
Space group: P4/mmm, No. 123

---

(8)
The following is a DFT calculation (PBE) of a relaxed PaH2Pd crystal.

Cell lengths 2.8959, 4.1271, 4.1271 Å; angles 90.00, 90.00, 90.00 degrees
Last column: nearest neighbours and their distance in Å.
Positions (direct):
Pa (0.5000, 0.5000, 0.5000)  8 H 2.52
H (0.0000, 0.0000, 0.5000)  4 Pa 2.52, 4 Pd 2.52
Pd (0.5000, 0.0000, 0.0000)  8 H 2.52
H (0.0000, 0.5000, 0.0000)  4 Pa 2.52, 4 Pd 2.52

Theoretical density (kg/m3): 11428
Space group: P4/mmm, No. 123

---

(9)
The following is a DFT calculation (PBE) of a relaxed Pa2HPd crystal.

Cell lengths 4.1700, 4.1700, 5.3735 Å; angles 67.17, 67.17, 60.00 degrees
Last column: nearest neighbours and their distance in Å.
Positions (direct):
Pa (0.2222, 0.2222, 0.3334)  3 H 2.54
Pd (0.0000, 0.0000, 0.0000)  8 Pa 2.89-3.20
H (0.5000, 0.5000, 0.5000)  6 Pa 2.54
Pa (0.7778, 0.7778, 0.6666)  3 H 2.54

Theoretical density (kg/m3): 13072
Space group: R-3m, No. 166

---

(10)
The following is a DFT calculation (PBE) of a relaxed PaH2Pd crystal.

Cell lengths 3.7641, 3.7628, 4.6570 Å; angles 90.01, 113.81, 120.01 degrees
Last column: nearest neighbours and their distance in Å.
Positions (direct):
H (0.7211, 0.6626, 0.3845)  3 Pa 2.27, 3 H 2.52-2.53
Pa (0.2838, 0.9437, 0.2282)  6 H 2.27
Pd (0.2838, 0.4437, 0.7282)  8 H 2.59-2.70
H (0.8465, 0.2247, 0.0719)  3 Pa 2.27, 3 H 2.52-2.53

Theoretical density (kg/m3): 11156
Space group: R-3m, No. 166

---

(11)
The following is a DFT calculation (PBE) of a relaxed PaHPd2 crystal.

Cell lengths 3.0676, 3.0676, 7.7648 Å; angles 78.61, 78.61, 60.00 degrees
Last column: nearest neighbours and their distance in Å.
Positions (direct):
Pd (0.1140, 0.1140, 0.6579)  3 H 2.14
Pd (0.8860, 0.8860, 0.3421)  3 H 2.14
Pa (0.0000, 0.0000, 0.0000)  2 Pd 2.59
H (0.5000, 0.5000, 0.5000)  6 Pd 2.14

Theoretical density (kg/m3): 11990
Space group: R-3m, No. 166

---

(12)
The following is a DFT calculation (PBE) of a relaxed PaH4Pd2 crystal.

Cell lengths 4.7921, 6.0337, 6.0470 Å; angles 80.93, 66.66, 66.60 degrees
Last column: nearest neighbours and their distance in Å.
Positions (direct):
H (0.0916, 0.7205, 0.3059)  2 Pd 1.89-1.90
Pa (0.7494, 0.5000, 0.5000)  8 H 2.35-2.37
H (0.6578, 0.1899, 0.7786)  2 Pd 1.87-1.90
Pd (0.2231, 0.4028, 0.9078)  4 H 1.87-1.90
H (0.1474, 0.2205, 0.1942)  2 Pd 1.89
Pd (0.3759, 0.0972, 0.4077)  4 H 1.87-1.90
H (0.5979, 0.3100, 0.2786)  2 Pd 1.87-1.90
Pa (0.9993, 0.0000, 0.0000)  8 H 2.35-2.37
Pd (0.5337, 0.5972, 0.0922)  4 H 1.87-1.90
H (0.6264, 0.8101, 0.2214)  2 Pd 1.87-1.90
H (0.5621, 0.7794, 0.8058)  2 Pd 1.89
Pd (0.8808, 0.9028, 0.5923)  4 H 1.87-1.90
H (0.1180, 0.2795, 0.6941)  2 Pd 1.89-1.90
H (0.1865, 0.6900, 0.7214)  2 Pd 1.87-1.90

Theoretical density (kg/m3): 10096
Space group: Fdd2, No. 43

---

| no. | size of the total moment (μB per formula unit) | DFT total energy (eV per atom) | V (Å³ per cell) |
| --- | --- | --- | --- |
| 1 | 0.00 | -6.31 | 146.1 |
| 2 | 0.79 | -4.18 | 65.1 |
| 3 | 0.02 | -6.90 | 171.2 |
| 4 | 0.00 | -5.61 | 57.8 |
| 5 | 1.07 | -5.45 | 61.5 |
| 6 | 0.00 | -5.24 | 124.3 |
| 7 | 0.00 | -5.85 | 62.8 |
| 8 | 1.78 | -5.28 | 49.3 |
| 9 | 0.00 | -7.01 | 72.3 |
| 10 | 0.00 | -5.62 | 50.5 |
| 11 | 0.00 | -5.77 | 61.6 |
| 12 | 0.00 | -4.97 | 147.3 |